Record 1
A plane-wave DFT calculation with GGA-PBE was carried out for crystalline GdHf2Sn at its relaxed geometry.

Cell lengths 4.525, 4.565, 4.565 Å; angles 90.00, 90.00, 90.00 degrees
Fractional coordinates of all 4 atoms:
Hf (0.000, 0.000, 0.500)
Hf (0.000, 0.500, 0.000)
Sn (0.500, 0.500, 0.500)
Gd (0.500, 0.000, 0.000)

Results
The space-group type is No. 123. For the energy relative to the elements, the calculation gives -0.192 eV per atom.

=====

Record 2
A plane-wave DFT calculation with GGA-PBE was carried out for crystalline GdHfSn2 at its relaxed geometry.

Cell lengths 4.764, 4.764, 5.964 Å; angles 66.46, 66.46, 60.00 degrees
Fractional coordinates of all 4 atoms:
Hf (0.500, 0.500, 0.500)
Sn (0.239, 0.239, 0.284)
Sn (0.761, 0.761, 0.716)
Gd (0.000, 0.000, 0.000)

Results
The space-group type is No. 166. The energy above the most stable polymorph in this dataset is 6 meV/atom. For the energy relative to the elements, the calculation gives -0.385 eV per atom.

=====

Record 3
A plane-wave DFT calculation with GGA-PBE was carried out for crystalline TbGdHf at its relaxed geometry.

Cell lengths 3.368, 3.368, 7.874 Å; angles 102.35, 102.35, 90.00 degrees
Fractional coordinates of all 3 atoms:
Hf (0.668, 0.668, 0.336)
Tb (0.320, 0.320, 0.640)
Gd (0.012, 0.012, 0.025)

Results
The space-group type is No. 107. The energy above the most stable polymorph in this dataset is 0 meV/atom. For the energy relative to the elements, the calculation gives 0.127 eV per atom.